# Er5TeRu2

A geometry-optimized Er5TeRu2 structure (PBE, the Alexandria database).

Its uncorrected formation energy is -0.61 eV per atom.

Cell: 7.6902 7.6902 13.3980 Å, 90.00 90.00 90.00°
With the nearest neighbours (Å) after each atom.
Space group I4/mcm (No. 140)
One atom of each set of equivalent atoms:
Er 0.0000 0.0000 0.0000 (multiplicity 4)  4 Ru 2.96
Er 0.1538 0.3462 0.1328 (multiplicity 16)  3 Ru 2.85-2.89
Te 0.0000 0.0000 0.2500 (multiplicity 4)  10 Er 3.31-3.35
Ru 0.1419 0.3581 0.5000 (multiplicity 8)  8 Er 2.85-2.96, 1 Ru 3.09

=====

# Pr5NdIn4

A geometry-optimized Pr5NdIn4 structure (PBE, the Alexandria database).

The value obtained for the energy above the most stable polymorph in this dataset is 237 meV/atom. The energy relative to the elements is -0.15 eV per atom.

Cell: 8.3683 9.3489 8.9108 Å, 90.00 90.00 90.00°
With the nearest neighbours (Å) after each atom.
Space group Pmmn (No. 59, origin choice 2)
One atom of each set of equivalent atoms:
Pr 0.0004 0.0538 0.2311 (multiplicity 8)  4 In 3.26-3.39, 1 Nd 3.59
Pr 0.2500 0.2500 0.5804 (multiplicity 2)  4 In 3.31-3.48
Nd 0.2500 0.7500 0.1581 (multiplicity 2)  4 In 2.96-3.29
In 0.0880 0.2500 0.9399 (multiplicity 4)  1 In 2.71, 1 Nd 2.96
In 0.2500 0.5926 0.4880 (multiplicity 4)  1 In 2.94, 2 Pr 3.28, 1 Nd 3.29

=====

# Ac3DyEr3Te8

A geometry-optimized Ac3DyEr3Te8 structure (PBE, the Alexandria database).

Its uncorrected formation energy is -1.40 eV per atom.

Cell: 8.8859 8.8859 22.6239 Å, 90.00 90.00 120.00°
With the nearest neighbours (Å) after each atom.
Space group R-3m (No. 166, hexagonal axes)
One atom of each set of equivalent atoms:
Ac 0.0000 0.5000 0.0000 (multiplicity 9)  6 Te 3.31-3.32
Dy 0.0000 0.0000 0.5000 (multiplicity 3)  6 Te 3.16
Er 0.0000 0.5000 0.5000 (multiplicity 9)  6 Te 3.06
Te 0.0000 0.0000 0.2404 (multiplicity 6)  3 Er 3.06, 3 Ac 3.32
Te 0.0103 0.5051 0.7570 (multiplicity 18)  2 Er 3.06, 1 Dy 3.16, 2 Ac 3.31

=====

# YBeIn

A geometry-optimized YBeIn structure (PBE, the Alexandria database).

The value obtained for the energy above the most stable polymorph in this dataset is 68 meV/atom. The energy relative to the elements is -0.20 eV per atom.

Cell: 4.4873 4.4873 22.0150 Å, 90.00 90.00 120.00°
With the nearest neighbours (Å) after each atom.
Space group R3m (No. 160, hexagonal axes)
One atom of each set of equivalent atoms:
Y 0.0000 0.0000 0.0000 (multiplicity 3)  6 Be 2.74-3.01
Y 0.0000 0.0000 0.1671 (multiplicity 3)  1 Be 2.78
Be 0.0000 0.0000 0.2934 (multiplicity 3)  1 Be 2.41
Be 0.0000 0.0000 0.4031 (multiplicity 3)  1 Be 2.41, 3 In 2.61
In 0.0000 0.0000 0.5859 (multiplicity 3)  3 Be 2.74
In 0.0000 0.0000 0.7499 (multiplicity 3)  3 Be 2.61

=====

# Hf3Al

A geometry-optimized Hf3Al structure (PBE, the Alexandria database).

The energy relative to the elements is -0.21 eV per atom.

Cell: 4.2496 4.2496 9.1076 Å, 90.00 90.00 90.00°
With the nearest neighbours (Å) after each atom.
Space group I4/mmm (No. 139)
One atom of each set of equivalent atoms:
Hf 0.0000 0.0000 0.0000 (multiplicity 2)  4 Al 3.00, 8 Hf 3.11
Hf 0.0000 0.5000 0.2500 (multiplicity 4)  8 Hf 3.00-3.11, 4 Al 3.11
Al 0.0000 0.0000 0.5000 (multiplicity 2)  12 Hf 3.00-3.11

=====

# Be2FeRu

A geometry-optimized Be2FeRu structure (PBE, the Alexandria database).

The energy relative to the elements is 0.18 eV per atom.

Cell: 2.8281 4.1700 7.5663 Å, 90.00 90.00 90.00°
With the nearest neighbours (Å) after each atom.
Space group Cmm2 (No. 35)
One atom of each set of equivalent atoms:
Be 0.0000 0.0000 0.0000 (multiplicity 2)  6 Be 2.26-2.52, 2 Ru 2.34
Be 0.0000 0.5000 0.2325 (multiplicity 2)  6 Be 2.26-2.52, 2 Fe 2.29
Fe 0.0000 0.0000 0.4698 (multiplicity 2)  2 Be 2.29, 4 Fe 2.52
Ru 0.0000 0.5000 0.7539 (multiplicity 2)  2 Be 2.34, 4 Ru 2.52, 2 Fe 2.57